1.
Computed, not measured: a PBEsol-optimized structure of SrCuRe2 at the SCAN level of DFT.

The structure belongs to space group P4mm (No. 99); the cell edges are 3.123, 3.123 and 7.464 Å and the angles 90.00°, 90.00° and 90.00°. The asymmetric unit holds Sr at (0.000, 0.000, 0.000), Cu at (0.500, 0.500, 0.305), Re at (0.000, 0.000, 0.502) and Re at (0.500, 0.500, 0.675).

The calculation puts the formation energy at 0.4210 eV/atom. The volume is 72.77 Å³/f.u. Its total DFT energy (no corrections) is -177.986 eV per cell.


2.
Computed, not measured: a PBEsol-optimized structure of SrCu2Re at the SCAN level of DFT.

The structure belongs to space group Immm (No. 71); the cell edges are 4.319, 5.101 and 6.633 Å and the angles 90.00°, 90.00° and 90.00°. The asymmetric unit holds Sr at (0.000, 0.000, 0.000), Cu at (0.000, 0.500, 0.200) and Re at (0.000, 0.000, 0.500).

The calculation puts the formation energy at 0.8650 eV/atom. The volume is 73.06 Å³/f.u. Its total DFT energy (no corrections) is -240.623 eV per cell.


3.
Computed, not measured: a PBEsol-optimized structure of SrCuRe2 at the SCAN level of DFT.

The structure belongs to space group P4/mmm (No. 123); the cell edges are 3.776, 3.776 and 4.926 Å and the angles 90.00°, 90.00° and 90.00°. The asymmetric unit holds Sr at (0.000, 0.000, 0.000), Cu at (0.500, 0.500, 0.000) and Re at (0.000, 0.500, 0.500).

The calculation puts the formation energy at 1.0451 eV/atom. The volume is 70.26 Å³/f.u. Its total DFT energy (no corrections) is -175.489 eV per cell.


4.
Computed, not measured: a PBEsol-optimized structure of SrCu2Re at the SCAN level of DFT.

The structure belongs to space group P4/mmm (No. 123); the cell edges are 3.169, 3.169 and 6.857 Å and the angles 90.00°, 90.00° and 90.00°. The asymmetric unit holds Sr at (0.000, 0.000, 0.000), Cu at (0.500, 0.500, 0.318) and Re at (0.000, 0.000, 0.500).

The calculation puts the formation energy at 0.6069 eV/atom. The volume is 68.86 Å³/f.u. Its total DFT energy (no corrections) is -121.344 eV per cell.


5.
Computed, not measured: a PBEsol-optimized structure of Sr2CuRe at the SCAN level of DFT.

The structure belongs to space group I-4m2 (No. 119); the cell edges are 4.467, 4.467 and 9.083 Å and the angles 90.00°, 90.00° and 90.00°. The asymmetric unit holds Sr at (0.000, 0.000, 0.000), Sr at (0.000, 0.500, 0.250), Cu at (0.000, 0.000, 0.500) and Re at (0.000, 0.500, 0.750).

The calculation puts the formation energy at 1.1250 eV/atom. The volume is 90.62 Å³/f.u. Its total DFT energy (no corrections) is -252.695 eV per cell.


6.
Computed, not measured: a PBEsol-optimized structure of SrCuRe2 at the SCAN level of DFT.

The structure belongs to space group Immm (No. 71); the cell edges are 2.729, 4.655 and 10.646 Å and the angles 90.00°, 90.00° and 90.00°. The asymmetric unit holds Sr at (0.000, 0.000, 0.000), Cu at (0.000, 0.000, 0.500) and Re at (0.000, 0.500, 0.217).

The calculation puts the formation energy at 0.6922 eV/atom. The volume is 67.62 Å³/f.u. Its total DFT energy (no corrections) is -353.802 eV per cell.